(1)
Here is a relaxed TaMn2Hg crystal from Alexandria. Energies are from PBE.

Cell lengths 4.698, 4.698, 5.209 Å; angles 81.56, 81.56, 35.99 degrees
Last column: magnetic moment on the atom in μB.
Element x y z (fractional)
1 Mn 0.499 0.499 0.523  3.05
2 Mn 0.001 0.001 0.977  3.05
3 Hg 0.250 0.250 0.250  -0.03
4 Ta 0.750 0.750 0.750  -0.50

Results
D(E_F) in states/eV/atom: 1.017
Total energy in eV/cell: -29.0
SG: No. 12
E_form in meV per atom: 374

---

(2)
Here is a relaxed NaCaSmI6 crystal from Alexandria. Energies are from PBE.

Cell lengths 7.907, 7.907, 14.511 Å; angles 90.00, 90.00, 120.00 degrees
Element x y z (fractional)
1 Na 0.000 0.000 0.000
2 Na 0.000 0.000 0.500
3 I 0.005 0.652 0.873
4 I 0.348 0.353 0.873
5 I 0.348 0.995 0.627
6 I 0.353 0.005 0.127
7 I 0.995 0.647 0.373
8 I 0.353 0.348 0.373
9 I 0.647 0.652 0.627
10 I 0.647 0.995 0.873
11 I 0.995 0.348 0.127
12 I 0.652 0.005 0.373
13 I 0.005 0.353 0.627
14 I 0.652 0.647 0.127
15 Sm 0.333 0.667 0.750
16 Sm 0.667 0.333 0.250
17 Ca 0.333 0.667 0.250
18 Ca 0.667 0.333 0.750

Results
D(E_F) in states/eV/atom: 0.000
Total energy in eV/cell: -60.5
SG: No. 163
E_form (uncorrected) in meV/atom: -1432